## MgCrBr2 (PBE-GGA)

Data for a relaxed MgCrBr2 crystal.

Cell lengths 6.356, 5.613, 4.000 Å; angles 68.86, 90.44, 124.67 degrees
Positions (direct):
Mg: 0.500 0.500 0.000
Cr: 0.000 0.500 0.500
Br: 0.000 0.000 0.000
Br: 0.500 0.000 0.500

Computed properties:
VASP energy (eV for the cell shown): -15.080
Symmetry: C2/m (12)

## GaPIN2 (PBE-GGA)

Data for a relaxed GaPIN2 crystal.

Cell lengths 3.842, 3.842, 8.053 Å; angles 90.00, 90.00, 90.00 degrees
Positions (direct):
I: 0.000 0.000 0.500
Ga: 0.000 0.000 0.000
N: 0.000 0.500 0.000
N: 0.500 0.000 0.000
P: 0.500 0.500 0.500

Computed properties:
VASP energy (eV for the cell shown): -19.048
Symmetry: P4/mmm (123)

The lowest VASP energy belongs to which entry? GaPIN2

Which of these has the lowest VASP energy? GaPIN2

Repeat the first record exactly.
## MgCrBr2 (PBE-GGA)

Data for a relaxed MgCrBr2 crystal.

Cell lengths 6.356, 5.613, 4.000 Å; angles 68.86, 90.44, 124.67 degrees
Positions (direct):
Mg: 0.500 0.500 0.000
Cr: 0.000 0.500 0.500
Br: 0.000 0.000 0.000
Br: 0.500 0.000 0.500

Computed properties:
VASP energy (eV for the cell shown): -15.080
Symmetry: C2/m (12)